Version one
An optimized crystal structure of La3DyEr2, computed with PBE-GGA.

Calculated values
Magnetization   0.000 μB/atom
ρ   7.36 Mg/m³
SG   Immm, No. 71
Density of states at the Fermi level   10.03 states/eV/f.u.

a b c (Å): 3.4805 6.0045 10.4540
angles (deg): 106.69 99.58 90.00
Last column: nearest neighbours and their distance in Å.
Fractional coordinates of all 6 atoms:
La (0.0000, 0.5000, 0.0000)  2 Dy 3.00, 4 Er 3.22
La (0.8125, 0.8125, 0.6250)  5 Er 3.45-3.61, 2 La 3.48, 1 Dy 3.70
La (0.1875, 0.1875, 0.3750)  5 Er 3.45-3.61, 2 La 3.48, 1 Dy 3.70
Er (0.6374, 0.6374, 0.2747)  3 La 3.22-3.45, 2 Er 3.48
Er (0.3626, 0.3626, 0.7253)  3 La 3.22-3.45, 2 Er 3.48
Dy (0.0000, 0.0000, 0.0000)  2 La 3.00

Version two
An optimized crystal structure of La3DyEr2, computed with PBE-GGA.

Calculated values
Magnetization   0.000 μB/atom
ρ   7.25 Mg/m³
SG   Imma, No. 74
Density of states at the Fermi level   11.33 states/eV/f.u.

a b c (Å): 6.5350 7.2721 10.0737
angles (deg): 111.17 108.93 90.00
Last column: nearest neighbours and their distance in Å.
Fractional coordinates of all 12 atoms:
La (0.1889, 0.9298, 0.3596)  3 La 3.50-3.64, 6 Er 3.59-3.84, 1 Dy 3.63
La (0.8293, 0.5702, 0.6404)  3 La 3.50-3.64, 6 Er 3.59-3.84, 1 Dy 3.63
La (0.7799, 0.7500, 0.0000)  4 Dy 3.27-3.66, 2 La 3.50, 4 Er 3.62
La (0.2201, 0.2500, 0.0000)  4 Dy 3.27-3.66, 2 La 3.50, 4 Er 3.62
La (0.8111, 0.0702, 0.6404)  3 La 3.50-3.64, 6 Er 3.59-3.84, 1 Dy 3.63
La (0.1707, 0.4298, 0.3596)  3 La 3.50-3.64, 6 Er 3.59-3.84, 1 Dy 3.63
Er (0.3557, 0.3556, 0.7113)  2 Dy 3.44, 8 La 3.59-3.84, 2 Er 3.64
Er (0.6443, 0.6444, 0.2887)  2 Dy 3.44, 8 La 3.59-3.84, 2 Er 3.64
Er (0.6444, 0.1444, 0.2887)  2 Dy 3.44, 8 La 3.59-3.84, 2 Er 3.64
Er (0.3556, 0.8556, 0.7113)  2 Dy 3.44, 8 La 3.59-3.84, 2 Er 3.64
Dy (0.2800, 0.7500, 0.0000)  6 La 3.27-3.66, 4 Er 3.44
Dy (0.7200, 0.2500, 0.0000)  6 La 3.27-3.66, 4 Er 3.44

Energy above the most stable structure, in meV per atom: version one 192; version two 0

Version one
An optimized crystal structure of LaDyErMg, computed with PBE-GGA.

Calculated values
Magnetization   0.000 μB/atom
ρ   6.69 Mg/m³
SG   P4mm, No. 99
Density of states at the Fermi level   5.87 states/eV/f.u.

a b c (Å): 3.7276 3.7276 8.8054
angles (deg): 90.00 90.00 90.00
Last column: nearest neighbours and their distance in Å.
Fractional coordinates of all 4 atoms:
La (0.0000, 0.0000, 0.0730)  4 Er 3.62, 4 Dy 3.64, 4 La 3.73
Dy (0.5000, 0.5000, 0.7886)  4 Mg 3.27, 4 La 3.64
Er (0.5000, 0.5000, 0.3540)  4 Mg 3.25, 4 La 3.62
Mg (0.0000, 0.0000, 0.5690)  4 Er 3.25, 4 Dy 3.27

Version two
An optimized crystal structure of LaDyErMg, computed with PBE-GGA.

Calculated values
Magnetization   0.001 μB/atom
ρ   6.65 Mg/m³
SG   F-43m, No. 216
Density of states at the Fermi level   5.09 states/eV/f.u.

a b c (Å): 5.5846 5.5846 5.5846
angles (deg): 60.00 60.00 60.00
Last column: nearest neighbours and their distance in Å.
Fractional coordinates of all 4 atoms:
Mg (0.0000, 0.0000, 0.0000)  4 La 3.42, 4 Dy 3.42
La (0.2500, 0.2500, 0.2500)  4 Er 3.42, 4 Mg 3.42
Er (0.5000, 0.5000, 0.5000)  4 La 3.42, 4 Dy 3.42
Dy (0.7500, 0.7500, 0.7500)  4 Er 3.42, 4 Mg 3.42

Energy above the most stable structure, in meV per atom: version one 0; version two 42

Version one
An optimized crystal structure of Li2DyEr, computed with PBE-GGA.

Calculated values
Magnetization   0.000 μB/atom
ρ   5.15 Mg/m³
SG   R-3m, No. 166
Density of states at the Fermi level   3.75 states/eV/f.u.

a b c (Å): 3.2970 3.2970 11.9155
angles (deg): 82.05 82.05 60.00
Last column: nearest neighbours and their distance in Å.
Fractional coordinates of all 4 atoms:
Dy (0.5000, 0.5000, 0.5000)  6 Dy 3.30, 6 Li 3.37
Er (0.0000, 0.0000, 0.0000)  2 Li 3.11, 6 Er 3.30
Li (0.9120, 0.9120, 0.2640)  1 Er 3.11, 6 Li 3.30, 3 Dy 3.37
Li (0.0880, 0.0880, 0.7360)  1 Er 3.11, 6 Li 3.30, 3 Dy 3.37

Version two
An optimized crystal structure of Li2DyEr, computed with PBE-GGA.

Calculated values
Magnetization   0.000 μB/atom
ρ   5.68 Mg/m³
SG   P4/mmm, No. 123
Density of states at the Fermi level   3.70 states/eV/f.u.

a b c (Å): 3.6900 3.6900 7.3770
angles (deg): 90.00 90.00 90.00
Last column: nearest neighbours and their distance in Å.
Fractional coordinates of all 4 atoms:
Li (0.0000, 0.0000, 0.7489)  4 Er 3.19, 4 Dy 3.20
Li (0.0000, 0.0000, 0.2511)  4 Er 3.19, 4 Dy 3.20
Er (0.5000, 0.5000, 0.5000)  8 Li 3.19
Dy (0.5000, 0.5000, 0.0000)  8 Li 3.20

Energy above the most stable structure, in meV per atom: version one 138; version two 0

Version one
An optimized crystal structure of Dy2Er6Mg, computed with PBE-GGA.

Calculated values
Magnetization   0.126 μB/atom
ρ   8.15 Mg/m³
SG   P-6m2, No. 187
Density of states at the Fermi level   15.37 states/eV/f.u.

a b c (Å): 3.5179 3.5179 25.7257
angles (deg): 90.00 90.00 120.00
Last column: nearest neighbours and their distance in Å.
Fractional coordinates of all 9 atoms:
Er (0.0000, 0.0000, 0.7850)  9 Er 3.46-3.52, 3 Dy 3.51
Er (0.0000, 0.0000, 0.4347)  7 Er 3.36-3.52, 3 Dy 3.45
Er (0.3333, 0.6667, 0.1064)  3 Mg 3.41, 9 Er 3.46-3.52
Er (0.0000, 0.0000, 0.5653)  7 Er 3.36-3.52, 3 Dy 3.45
Er (0.0000, 0.0000, 0.2150)  9 Er 3.46-3.52, 3 Dy 3.51
Er (0.3333, 0.6667, 0.8936)  3 Mg 3.41, 9 Er 3.46-3.52
Mg (0.0000, 0.0000, 0.0000)  6 Er 3.41, 6 Mg 3.52
Dy (0.3333, 0.6667, 0.6737)  6 Er 3.45-3.51, 6 Dy 3.52
Dy (0.3333, 0.6667, 0.3263)  6 Er 3.45-3.51, 6 Dy 3.52

Version two
An optimized crystal structure of Dy2Er6Mg, computed with PBE-GGA.

Calculated values
Magnetization   0.000 μB/atom
ρ   8.32 Mg/m³
SG   P4_2/mnm, No. 136
Density of states at the Fermi level   12.57 states/eV/f.u.

a b c (Å): 4.9792 10.4166 10.4148
angles (deg): 90.00 90.00 90.00
Last column: nearest neighbours and their distance in Å.
Fractional coordinates of all 18 atoms:
Er (0.0000, 0.9996, 0.1660)  8 Er 3.46-3.50, 3 Dy 3.48-3.50, 1 Mg 3.48
Er (0.5000, 0.1676, 0.6675)  6 Er 3.47-3.50, 4 Dy 3.47-3.49, 2 Mg 3.51
Er (0.5000, 0.8324, 0.3325)  6 Er 3.47-3.50, 4 Dy 3.47-3.49, 2 Mg 3.51
Er (0.5000, 0.4996, 0.3341)  8 Er 3.46-3.50, 3 Dy 3.48-3.50, 1 Mg 3.48
Er (0.0000, 0.6659, 0.4997)  8 Er 3.46-3.50, 3 Dy 3.47-3.50, 1 Mg 3.48
Er (0.0000, 0.6677, 0.8324)  6 Er 3.47-3.50, 4 Dy 3.47-3.49, 2 Mg 3.51
Er (0.0000, 0.3341, 0.5003)  8 Er 3.46-3.50, 3 Dy 3.47-3.50, 1 Mg 3.48
Er (0.5000, 0.1659, 0.0004)  8 Er 3.46-3.50, 3 Dy 3.48-3.50, 1 Mg 3.48
Er (0.0000, 0.0004, 0.8340)  8 Er 3.46-3.50, 3 Dy 3.48-3.50, 1 Mg 3.48
Er (0.5000, 0.8341, 0.9996)  8 Er 3.46-3.50, 3 Dy 3.48-3.50, 1 Mg 3.48
Er (0.5000, 0.5004, 0.6659)  8 Er 3.46-3.50, 3 Dy 3.48-3.50, 1 Mg 3.48
Er (0.0000, 0.3323, 0.1676)  6 Er 3.47-3.50, 4 Dy 3.47-3.49, 2 Mg 3.51
Mg (0.5000, 0.5000, 0.0000)  8 Er 3.48-3.51, 4 Dy 3.49
Mg (0.0000, 0.0000, 0.5000)  8 Er 3.48-3.51, 4 Dy 3.49
Dy (0.5000, 0.1659, 0.3340)  10 Er 3.47-3.50, 2 Mg 3.49
Dy (0.5000, 0.8341, 0.6660)  10 Er 3.47-3.50, 2 Mg 3.49
Dy (0.0000, 0.6659, 0.1660)  10 Er 3.47-3.50, 2 Mg 3.49
Dy (0.0000, 0.3341, 0.8340)  10 Er 3.47-3.50, 2 Mg 3.49

Energy above the most stable structure, in meV per atom: version one 40; version two 0

Version one
An optimized crystal structure of Dy2ErMg, computed with PBE-GGA.

Calculated values
Magnetization   0.000 μB/atom
ρ   7.32 Mg/m³
SG   C2/m, No. 12
Density of states at the Fermi level   3.93 states/eV/f.u.

a b c (Å): 5.0283 5.0283 9.9241
angles (deg): 104.60 104.60 90.05
Last column: nearest neighbours and their distance in Å.
Fractional coordinates of all 8 atoms:
Dy (0.1310, 0.1310, 0.7622)  4 Mg 3.34-3.35, 4 Dy 3.50, 4 Er 3.55-3.56
Dy (0.5000, 0.0000, 0.5000)  8 Dy 3.50-3.56, 4 Er 3.51
Dy (0.8690, 0.8690, 0.2378)  4 Mg 3.34-3.35, 4 Dy 3.50, 4 Er 3.55-3.56
Dy (0.0000, 0.5000, 0.5000)  8 Dy 3.50-3.56, 4 Er 3.51
Er (0.3680, 0.3680, 0.2360)  4 Mg 3.33, 8 Dy 3.51-3.56
Er (0.6320, 0.6320, 0.7640)  4 Mg 3.33, 8 Dy 3.51-3.56
Mg (0.2499, 0.7501, 0.0000)  4 Er 3.33, 4 Dy 3.34-3.35, 4 Mg 3.55-3.56
Mg (0.7501, 0.2499, 0.0000)  4 Er 3.33, 4 Dy 3.34-3.35, 4 Mg 3.55-3.56

Version two
An optimized crystal structure of Dy2ErMg, computed with PBE-GGA.

Calculated values
Magnetization   0.000 μB/atom
ρ   7.22 Mg/m³
SG   R3m, No. 160
Density of states at the Fermi level   5.54 states/eV/f.u.

a b c (Å): 3.4703 3.4703 11.5669
angles (deg): 81.37 81.37 60.00
Last column: nearest neighbours and their distance in Å.
Fractional coordinates of all 4 atoms:
Mg (0.4999, 0.4999, 0.5003)  6 Mg 3.47, 6 Dy 3.47
Er (0.6668, 0.6668, 0.9996)  6 Er 3.47, 6 Dy 3.49-3.50
Dy (0.0836, 0.0836, 0.7491)  6 Dy 3.47, 3 Mg 3.47, 3 Er 3.49
Dy (0.2496, 0.2496, 0.2511)  6 Dy 3.47, 3 Mg 3.47, 3 Er 3.50

Energy above the most stable structure, in meV per atom: version one 0; version two 71